1.
# CsLuCoTe3 (PBE, relaxed)
data_CsLuCoTe3
_symmetry_space_group_name_H-M 'P 1'
_symmetry_Int_Tables_number 1
_cell_length_a 11.329
_cell_length_b 4.244
_cell_length_c 17.366
_cell_angle_alpha 90.00
_cell_angle_beta 90.00
_cell_angle_gamma 90.00
loop_
_symmetry_equiv_pos_as_xyz
'x,y,z'
loop_
_atom_site_label
_atom_site_fract_x
_atom_site_fract_y
_atom_site_fract_z
_atom_site_occupancy
Te1 0.438 0.250 0.135 1
Te2 0.248 0.750 0.307 1
Te3 0.252 0.250 0.807 1
Te4 0.748 0.750 0.193 1
Te5 0.938 0.250 0.365 1
Te6 0.062 0.750 0.635 1
Te7 0.062 0.250 0.131 1
Te8 0.938 0.750 0.869 1
Te9 0.438 0.750 0.631 1
Te10 0.562 0.250 0.369 1
Te11 0.752 0.250 0.693 1
Te12 0.562 0.750 0.865 1
Co1 0.748 0.250 0.282 1
Co2 0.252 0.750 0.718 1
Co3 0.752 0.750 0.782 1
Co4 0.248 0.250 0.218 1
Lu1 0.500 0.750 0.253 1
Lu2 0.000 0.750 0.247 1
Lu3 0.000 0.250 0.753 1
Lu4 0.500 0.250 0.747 1
Cs1 0.753 0.750 0.507 1
Cs2 0.747 0.250 0.007 1
Cs3 0.247 0.250 0.493 1
Cs4 0.253 0.750 0.993 1
# Raw total energy (eV per atom): -4.4819
# Total moment (μB per formula unit): 2.669
# Polymorph energy (0 for the lowest one) (meV per atom): 15


2.
# HfCoP (PBE, relaxed)
data_HfCoP
_symmetry_space_group_name_H-M 'P 1'
_symmetry_Int_Tables_number 1
_cell_length_a 3.669
_cell_length_b 6.262
_cell_length_c 7.091
_cell_angle_alpha 90.00
_cell_angle_beta 90.00
_cell_angle_gamma 90.00
loop_
_symmetry_equiv_pos_as_xyz
'x,y,z'
loop_
_atom_site_label
_atom_site_fract_x
_atom_site_fract_y
_atom_site_fract_z
_atom_site_occupancy
P1 0.750 0.728 0.384 1
P2 0.250 0.772 0.884 1
P3 0.750 0.228 0.116 1
P4 0.250 0.272 0.616 1
Hf1 0.750 0.979 0.683 1
Hf2 0.750 0.479 0.817 1
Hf3 0.250 0.521 0.183 1
Hf4 0.250 0.021 0.317 1
Co1 0.750 0.361 0.438 1
Co2 0.250 0.639 0.562 1
Co3 0.750 0.861 0.062 1
Co4 0.250 0.139 0.938 1
# Raw total energy (eV per atom): -8.6222
# Total moment (μB per formula unit): 0.005


3.
# BeTlSiIr (PBE, relaxed)
data_BeTlSiIr
_symmetry_space_group_name_H-M 'P 1'
_symmetry_Int_Tables_number 1
_cell_length_a 4.445
_cell_length_b 4.445
_cell_length_c 4.445
_cell_angle_alpha 60.00
_cell_angle_beta 60.00
_cell_angle_gamma 60.00
loop_
_symmetry_equiv_pos_as_xyz
'x,y,z'
loop_
_atom_site_label
_atom_site_fract_x
_atom_site_fract_y
_atom_site_fract_z
_atom_site_occupancy
Tl1 0.500 0.500 0.500 1
Ir1 0.000 0.000 0.000 1
Si1 0.250 0.250 0.250 1
Be1 0.750 0.750 0.750 1
# Raw total energy (eV per atom): -4.5410
# Total moment (μB per formula unit): 0.003
# Polymorph energy (0 for the lowest one) (meV per atom): 0


4.
# NbAsOsO (PBE, relaxed)
data_NbAsOsO
_symmetry_space_group_name_H-M 'P 1'
_symmetry_Int_Tables_number 1
_cell_length_a 4.179
_cell_length_b 5.677
_cell_length_c 5.244
_cell_angle_alpha 90.00
_cell_angle_beta 90.00
_cell_angle_gamma 90.00
loop_
_symmetry_equiv_pos_as_xyz
'x,y,z'
loop_
_atom_site_label
_atom_site_fract_x
_atom_site_fract_y
_atom_site_fract_z
_atom_site_occupancy
O1 0.500 0.243 0.402 1
O2 0.500 0.757 0.902 1
Os1 0.500 0.579 0.559 1
Os2 0.500 0.421 0.059 1
As1 0.000 0.813 0.397 1
As2 0.000 0.187 0.897 1
Nb1 0.000 0.700 0.896 1
Nb2 0.000 0.300 0.396 1
# Raw total energy (eV per atom): -8.3826
# Total moment (μB per formula unit): 0.000
# Polymorph energy (0 for the lowest one) (meV per atom): 0


5.
# RbNdCoSe3 (PBE, relaxed)
data_RbNdCoSe3
_symmetry_space_group_name_H-M 'P 1'
_symmetry_Int_Tables_number 1
_cell_length_a 4.182
_cell_length_b 11.219
_cell_length_c 7.932
_cell_angle_alpha 90.00
_cell_angle_beta 104.99
_cell_angle_gamma 90.00
loop_
_symmetry_equiv_pos_as_xyz
'x,y,z'
loop_
_atom_site_label
_atom_site_fract_x
_atom_site_fract_y
_atom_site_fract_z
_atom_site_occupancy
Se1 0.379 0.425 0.752 1
Se2 0.621 0.575 0.248 1
Se3 0.379 0.075 0.752 1
Se4 0.621 0.925 0.248 1
Se5 0.938 0.750 0.885 1
Se6 0.062 0.250 0.115 1
Nd1 0.000 0.000 0.000 1
Nd2 0.000 0.500 0.000 1
Co1 0.471 0.250 0.931 1
Co2 0.529 0.750 0.069 1
Rb1 0.749 0.250 0.482 1
Rb2 0.251 0.750 0.518 1
# Raw total energy (eV per atom): -5.0229
# Total moment (μB per formula unit): 2.992


6.
# Dy2Pd (PBE, relaxed)
data_Dy2Pd
_symmetry_space_group_name_H-M 'P 1'
_symmetry_Int_Tables_number 1
_cell_length_a 8.625
_cell_length_b 8.625
_cell_length_c 8.625
_cell_angle_alpha 60.00
_cell_angle_beta 60.00
_cell_angle_gamma 60.00
loop_
_symmetry_equiv_pos_as_xyz
'x,y,z'
loop_
_atom_site_label
_atom_site_fract_x
_atom_site_fract_y
_atom_site_fract_z
_atom_site_occupancy
Dy1 0.375 0.875 0.375 1
Dy2 0.875 0.375 0.375 1
Dy3 0.375 0.375 0.375 1
Dy4 0.375 0.375 0.875 1
Pd1 0.500 0.500 0.500 1
Pd2 0.250 0.250 0.250 1
# E_form (eV/atom): 0.8740
# Raw total energy (eV per atom): -3.9187
# Total moment (μB per formula unit): 0.004